1.
Below is a relaxed SrCe2IrN4 crystal, with properties calculated at the PBE level.

abc: 6.183 6.183 12.359
angles: 90.00 90.00 145.71
Fractional coordinates of all 16 atoms:
Sr: 0.077 0.923 0.750
Sr: 0.923 0.077 0.250
Ce: 0.367 0.633 0.552
Ce: 0.367 0.633 0.948
Ce: 0.633 0.367 0.052
Ce: 0.633 0.367 0.448
Ir: 0.185 0.815 0.250
Ir: 0.815 0.185 0.750
N: 0.000 0.000 0.000
N: 0.000 0.000 0.500
N: 0.252 0.748 0.101
N: 0.252 0.748 0.399
N: 0.401 0.599 0.750
N: 0.599 0.401 0.250
N: 0.748 0.252 0.601
N: 0.748 0.252 0.899

Summary:
- Calculated density: 7.69 Mg/m³
- Fermi-level density of states: 0.377 states/eV per atom
- Total DFT energy (no corrections): -7.83 eV per atom
- ΔE_f (raw): -864 meV per atom


2.
Below is a relaxed Sm2ZnS crystal, with properties calculated at the PBE level.

abc: 3.912 3.912 22.808
angles: 90.00 90.00 120.00
Fractional coordinates of all 12 atoms:
Sm: 0.000 0.000 0.000
Sm: 0.000 0.000 0.187
Sm: 0.333 0.667 0.667
Sm: 0.333 0.667 0.854
Sm: 0.667 0.333 0.333
Sm: 0.667 0.333 0.521
Zn: 0.000 0.000 0.427
Zn: 0.333 0.667 0.094
Zn: 0.667 0.333 0.760
S: 0.000 0.000 0.596
S: 0.333 0.667 0.262
S: 0.667 0.333 0.929

Summary:
- Calculated density: 6.56 Mg/m³
- Fermi-level density of states: 0.613 states/eV per atom
- Total DFT energy (no corrections): -4.74 eV per atom
- ΔE_f (raw): -1026 meV per atom